No. 1
Below is crystalline Tm2CdCl at its relaxed geometry, with properties calculated at the PBE level.

Values from the calculation:
Crystal system: trigonal
N(E_F), states/eV per atom: 1.017
Uncorrected formation energy, eV per atom: -0.38
Uncorrected energy, eV/atom: -3.31
Volume, Å³/atom: 26.61

Cell: 3.386 3.386 10.894 Å, 81.06 81.06 60.00°
Element x y z (fractional)
Tm 0.902 0.902 0.293
Cd 0.000 0.000 0.000
Tm 0.098 0.098 0.707
Cl 0.500 0.500 0.500

=====

No. 2
Below is crystalline U2CdCl8 at its relaxed geometry, with properties calculated at the PBE level.

Values from the calculation:
Crystal system: monoclinic
N(E_F), states/eV per atom: 0.182
Uncorrected formation energy, eV per atom: -1.41
Uncorrected energy, eV/atom: -4.88
Volume, Å³/atom: 43.81

Cell: 10.526 7.357 7.357 Å, 121.78 87.23 87.23°
Element x y z (fractional)
Cl 0.753 0.795 0.162
Cl 0.469 0.766 0.766
Cl 0.818 0.583 0.583
Cl 0.247 0.838 0.205
Cl 0.531 0.234 0.234
Cd 0.000 0.000 0.000
U 0.695 0.902 0.902
Cl 0.182 0.417 0.417
U 0.305 0.098 0.098
Cl 0.247 0.205 0.838
Cl 0.753 0.162 0.795

=====

No. 3
Below is crystalline UCd2Cl8 at its relaxed geometry, with properties calculated at the PBE level.

Values from the calculation:
Crystal system: monoclinic
N(E_F), states/eV per atom: 0.330
Uncorrected formation energy, eV per atom: -1.28
Uncorrected energy, eV/atom: -3.82
Volume, Å³/atom: 36.29

Cell: 6.564 9.410 9.410 Å, 43.78 96.44 96.44°
Element x y z (fractional)
Cl 0.266 0.313 0.813
Cd 0.459 0.161 0.161
Cl 0.734 0.187 0.687
Cl 0.828 0.131 0.131
Cl 0.734 0.687 0.187
Cl 0.378 0.290 0.290
Cl 0.172 0.869 0.869
Cl 0.622 0.710 0.710
Cl 0.266 0.813 0.313
Cd 0.541 0.839 0.839
U 0.000 0.000 0.000